(1)
Cu2Ag | PBEsol | optimized geometry

Results
E above lowest polymorph	0.000	eV per atom
Fermi-level density of states	0.941	states/eV/f.u.
calculated formation energy	0.069	eV per atom
DFT total energy	-11.8	eV per formula unit
crystal system	hexagonal

Lattice parameters (Å, degrees): 4.8319 4.8319 7.8193 90.00 90.00 120.00
Last column: nearest neighbours and their distance in Å.
Space group P6_3/mmc (No. 194)
Inequivalent atoms, fractional coordinates:
Cu 0.0000 0.0000 0.0000  6 Cu 2.41
Cu 0.1690 0.3381 0.2500  6 Cu 2.38-2.45
Ag 0.3333 0.6667 0.5616  12 Cu 2.80-2.83, 4 Ag 2.95



(2)
Te2RuC | PBEsol | optimized geometry

Results
E_form (uncorrected)	574.3	kJ/mol of formula units
Fermi-level density of states	3.252	states/eV/f.u.
DFT total energy	-20.9	eV per formula unit
crystal system	trigonal

Lattice parameters (Å, degrees): 3.2169 3.2169 24.2105 90.00 90.00 120.00
Last column: nearest neighbours and their distance in Å.
Space group R-3m (No. 166, hexagonal axes)
Inequivalent atoms, fractional coordinates:
Te 0.0000 0.0000 0.1029  3 C 2.42, 1 Ru 2.49
Ru 0.0000 0.0000 0.0000  2 Te 2.49
C 0.0000 0.0000 0.5000  6 Te 2.42